[1]
VASP calculation (GGA-PBE) on a relaxed TbErSc3 crystal.

Cell: 5.337 5.932 9.089 Å, 71.15 90.00 90.00°
Atoms (fractional coordinates):
Sc 0.183 0.903 0.600
Er 0.183 0.692 0.007
Sc 0.683 0.768 0.201
Sc 0.183 0.507 0.397
Tb 0.183 0.291 0.806
Sc 0.683 0.354 0.009
Sc 0.183 0.092 0.205
Sc 0.683 0.957 0.807
Tb 0.683 0.569 0.601
Er 0.683 0.169 0.399

Summary:
The value obtained for the formation energy is 23 meV/atom. As for the space group: No. 11. The density of states at the Fermi level comes out at 1.851 states/eV per atom. The value obtained for the total energy is -5.615 eV/atom. The value obtained for the calculated density is 5.62 g/cm³.

[2]
VASP calculation (GGA-PBE) on a relaxed TbEr6Sc2 crystal.

Cell: 6.461 9.225 9.225 Å, 88.26 80.14 80.14°
Atoms (fractional coordinates):
Er 0.319 0.794 0.962
Sc 0.128 0.649 0.708
Er 0.819 0.962 0.794
Er 0.498 0.619 0.328
Sc 0.872 0.351 0.292
Er 0.763 0.538 0.950
Er 0.237 0.462 0.050
Er 0.502 0.381 0.672
Er 0.181 0.038 0.206
Sc 0.372 0.292 0.351
Sc 0.628 0.708 0.649
Er 0.263 0.950 0.538
Er 0.737 0.050 0.462
Er 0.002 0.672 0.381
Er 0.998 0.328 0.619
Tb 0.250 0.141 0.859
Er 0.681 0.206 0.038
Tb 0.750 0.859 0.141

Summary:
The value obtained for the formation energy is 133 meV/atom. For the relative energy among the computed polymorphs, the calculation gives 0.70 eV/f.u. As for the space group: No. 15. The density of states at the Fermi level comes out at 1.078 states/eV per atom. The value obtained for the total energy is -4.831 eV/atom. The value obtained for the calculated density is 7.79 g/cm³.

[3]
VASP calculation (GGA-PBE) on a relaxed Tb2Er2Sc15 crystal.

Cell: 8.114 8.114 8.114 Å, 80.63 80.63 80.63°
Atoms (fractional coordinates):
Sc 0.000 0.696 0.304
Tb 0.888 0.888 0.888
Sc 0.154 0.633 0.633
Sc 0.367 0.367 0.846
Sc 0.633 0.154 0.633
Sc 0.000 0.000 0.500
Er 0.333 0.333 0.333
Sc 0.633 0.633 0.154
Sc 0.500 0.000 0.000
Sc 0.846 0.367 0.367
Tb 0.112 0.112 0.112
Sc 0.696 0.304 0.000
Sc 0.000 0.500 0.000
Sc 0.696 0.000 0.304
Er 0.667 0.667 0.667
Sc 0.304 0.000 0.696
Sc 0.304 0.696 0.000
Sc 0.000 0.304 0.696
Sc 0.367 0.846 0.367

Summary:
The value obtained for the formation energy is 247 meV/atom. As for the space group: No. 166. The density of states at the Fermi level comes out at 1.959 states/eV per atom. The value obtained for the total energy is -5.719 eV/atom. The value obtained for the calculated density is 4.28 g/cm³.

[4]
VASP calculation (GGA-PBE) on a relaxed Tb4Er5Sc crystal.

Cell: 5.711 7.984 7.984 Å, 82.65 69.05 69.05°
Atoms (fractional coordinates):
Er 0.677 0.000 0.000
Er 0.772 0.000 0.374
Tb 0.449 0.322 0.678
Tb 0.126 0.322 0.322
Er 0.772 0.374 0.000
Tb 0.449 0.678 0.322
Tb 0.771 0.678 0.678
Er 0.145 0.626 0.000
Sc 0.205 0.000 0.000
Er 0.145 0.000 0.626

Summary:
The value obtained for the formation energy is 234 meV/atom. For the relative energy among the computed polymorphs, the calculation gives 1.17 eV/f.u. As for the space group: No. 107. The density of states at the Fermi level comes out at 1.331 states/eV per atom. The value obtained for the total energy is -4.532 eV/atom. The value obtained for the calculated density is 7.93 g/cm³.

[5]
VASP calculation (GGA-PBE) on a relaxed Tb4ErSc3 crystal.

Cell: 5.564 5.812 8.288 Å, 111.19 109.61 90.00°
Atoms (fractional coordinates):
Sc 0.000 0.500 0.000
Tb 0.629 0.681 0.257
Tb 0.371 0.319 0.743
Tb 0.249 0.690 0.497
Er 0.500 0.000 0.000
Sc 0.874 0.924 0.748
Sc 0.126 0.076 0.252
Tb 0.751 0.310 0.503

Summary:
The value obtained for the formation energy is 125 meV/atom. For the relative energy among the computed polymorphs, the calculation gives 0.75 eV/f.u. As for the space group: No. 12. The density of states at the Fermi level comes out at 2.025 states/eV per atom. The value obtained for the total energy is -5.134 eV/atom. The value obtained for the calculated density is 6.68 g/cm³.

[6]
VASP calculation (GGA-PBE) on a relaxed Tb7Er4Sc crystal.

Cell: 5.788 8.555 9.455 Å, 61.18 72.18 70.23°
Site moments in Bohr magnetons follow the coordinates.
Atoms (fractional coordinates):
Er 0.714 0.808 0.764  0.02
Tb 0.714 0.451 0.121  0.00
Er 0.286 0.192 0.236  0.02
Er 0.583 0.279 0.555  0.01
Er 0.417 0.721 0.445  0.01
Tb 0.072 0.566 0.290  0.01
Tb 0.500 0.000 0.000  0.17
Tb 0.286 0.549 0.879  0.00
Tb 0.170 0.036 0.623  0.03
Tb 0.830 0.964 0.377  0.03
Tb 0.928 0.434 0.710  0.01
Sc 0.000 0.000 0.000  0.25

Summary:
The value obtained for the formation energy is 237 meV/atom. For the relative energy among the computed polymorphs, the calculation gives 1.65 eV/f.u. As for the space group: No. 12. The density of states at the Fermi level comes out at 1.642 states/eV per atom. The value obtained for the total energy is -4.512 eV/atom. The value obtained for the calculated density is 7.98 g/cm³.

[7]
VASP calculation (GGA-PBE) on a relaxed TbEr8Sc6 crystal.

Cell: 8.300 8.300 8.300 Å, 62.70 62.70 62.70°
Atoms (fractional coordinates):
Sc 0.248 0.101 0.534
Er 0.112 0.714 0.752
Sc 0.466 0.752 0.899
Sc 0.101 0.534 0.248
Er 0.888 0.286 0.248
Er 0.286 0.248 0.888
Sc 0.534 0.248 0.101
Er 0.421 0.421 0.421
Er 0.752 0.112 0.714
Er 0.714 0.752 0.112
Er 0.579 0.579 0.579
Er 0.248 0.888 0.286
Sc 0.899 0.466 0.752
Tb 0.000 0.000 0.000
Sc 0.752 0.899 0.466

Summary:
The value obtained for the formation energy is 169 meV/atom. For the relative energy among the computed polymorphs, the calculation gives 0.00 eV/f.u. As for the space group: No. 148. The density of states at the Fermi level comes out at 1.692 states/eV per atom. The value obtained for the total energy is -5.106 eV/atom. The value obtained for the calculated density is 6.85 g/cm³.

[8]
VASP calculation (GGA-PBE) on a relaxed TbEr4Sc3 crystal.

Cell: 6.829 9.677 5.902 Å, 66.09 125.10 134.80°
Atoms (fractional coordinates):
Sc 0.754 0.254 0.500
Tb 0.000 0.000 0.000
Sc 0.246 0.746 0.500
Er 0.253 0.253 0.500
Sc 0.500 0.500 0.000
Er 0.000 0.500 0.000
Er 0.747 0.747 0.500
Er 0.500 0.000 0.000

Summary:
The value obtained for the formation energy is 52 meV/atom. For the relative energy among the computed polymorphs, the calculation gives 0.26 eV/f.u. As for the space group: No. 2. The density of states at the Fermi level comes out at 1.562 states/eV per atom. The value obtained for the total energy is -5.182 eV/atom. The value obtained for the calculated density is 7.06 g/cm³.

[9]
VASP calculation (GGA-PBE) on a relaxed TbEr6Sc8 crystal.

Cell: 8.548 8.548 8.218 Å, 58.66 58.66 60.00°
Atoms (fractional coordinates):
Er 0.106 0.225 0.130
Sc 0.890 0.255 0.572
Sc 0.716 0.110 0.428
Sc 0.284 0.890 0.572
Sc 0.426 0.426 0.723
Sc 0.745 0.716 0.428
Er 0.461 0.894 0.870
Tb 0.000 0.000 0.000
Er 0.539 0.106 0.130
Er 0.894 0.775 0.870
Er 0.225 0.539 0.130
Sc 0.110 0.745 0.428
Sc 0.574 0.574 0.277
Er 0.775 0.461 0.870
Sc 0.255 0.284 0.572

Summary:
The value obtained for the formation energy is 143 meV/atom. For the relative energy among the computed polymorphs, the calculation gives 1.58 eV/f.u. As for the space group: No. 148. The density of states at the Fermi level comes out at 1.649 states/eV per atom. The value obtained for the total energy is -5.368 eV/atom. The value obtained for the calculated density is 6.08 g/cm³.

[10]
VASP calculation (GGA-PBE) on a relaxed Tb8Er6Sc crystal.

Cell: 8.961 8.961 8.536 Å, 58.34 58.34 60.00°
Atoms (fractional coordinates):
Tb 0.577 0.577 0.269
Er 0.456 0.893 0.881
Tb 0.890 0.252 0.579
Tb 0.279 0.890 0.579
Er 0.107 0.230 0.119
Tb 0.110 0.748 0.421
Tb 0.423 0.423 0.731
Er 0.544 0.107 0.119
Sc 0.000 0.000 0.000
Er 0.770 0.456 0.881
Er 0.230 0.544 0.119
Er 0.893 0.770 0.881
Tb 0.748 0.721 0.421
Tb 0.252 0.279 0.579
Tb 0.721 0.110 0.421

Summary:
The value obtained for the formation energy is 124 meV/atom. For the relative energy among the computed polymorphs, the calculation gives 0.00 eV/f.u. As for the space group: No. 148. The density of states at the Fermi level comes out at 1.595 states/eV per atom. The value obtained for the total energy is -4.593 eV/atom. The value obtained for the calculated density is 8.16 g/cm³.

[11]
VASP calculation (GGA-PBE) on a relaxed Tb2Er3Sc7 crystal.

Cell: 3.419 5.438 17.657 Å, 92.97 90.00 90.00°
Atoms (fractional coordinates):
Sc 0.000 0.000 0.000
Sc 0.500 0.196 0.172
Sc 0.500 0.743 0.463
Tb 0.500 0.291 0.709
Sc 0.500 0.804 0.828
Sc 0.000 0.695 0.141
Er 0.000 0.223 0.370
Sc 0.500 0.257 0.537
Sc 0.000 0.305 0.859
Tb 0.500 0.709 0.291
Er 0.500 0.500 0.000
Er 0.000 0.777 0.630

Summary:
The value obtained for the formation energy is 102 meV/atom. For the relative energy among the computed polymorphs, the calculation gives 0.00 eV/f.u. As for the space group: No. 10. The density of states at the Fermi level comes out at 1.456 states/eV per atom. The value obtained for the total energy is -5.504 eV/atom. The value obtained for the calculated density is 5.74 g/cm³.

[12]
VASP calculation (GGA-PBE) on a relaxed Tb4Er4Sc crystal.

Cell: 4.950 7.842 7.842 Å, 84.28 71.60 71.60°
Atoms (fractional coordinates):
Tb 0.669 0.331 0.331
Tb 0.000 0.669 0.331
Er 0.335 0.000 0.329
Er 0.336 0.329 0.000
Tb 0.000 0.331 0.669
Er 0.665 0.000 0.671
Tb 0.331 0.669 0.669
Er 0.664 0.671 0.000
Sc 0.000 0.000 0.000

Summary:
The value obtained for the formation energy is 31 meV/atom. As for the space group: No. 139. The density of states at the Fermi level comes out at 1.497 states/eV per atom. The value obtained for the total energy is -4.759 eV/atom. The value obtained for the calculated density is 8.18 g/cm³.